--- 1 ---
Here is a geometry-optimized Li2TaRe structure from Alexandria via LeMat-Bulk. Energies are from PBE.

a b c (Å): 2.722 2.722 30.160
angles (deg): 90.00 90.00 120.00
Positions (direct):
1 Li 0.000 0.000 0.244
2 Li 0.000 0.000 0.756
3 Li 0.333 0.667 0.422
4 Li 0.333 0.667 0.911
5 Li 0.667 0.333 0.089
6 Li 0.667 0.333 0.578
7 Ta 0.000 0.000 0.000
8 Ta 0.333 0.667 0.667
9 Ta 0.667 0.333 0.333
10 Re 0.000 0.000 0.500
11 Re 0.333 0.667 0.167
12 Re 0.667 0.333 0.833

=====

--- 2 ---
Here is a geometry-optimized Li2TaRe structure from Alexandria via LeMat-Bulk. Energies are from PBE.

a b c (Å): 2.600 4.258 5.894
angles (deg): 90.00 90.00 90.00
Positions (direct):
1 Li 0.000 0.000 0.000
2 Li 0.500 0.500 0.222
3 Ta 0.500 0.500 0.704
4 Re 0.000 0.000 0.493

=====

--- 3 ---
Here is a geometry-optimized Li2TaRe structure from Alexandria via LeMat-Bulk. Energies are from PBE.

a b c (Å): 2.577 2.577 9.522
angles (deg): 90.00 90.00 90.00
Positions (direct):
1 Li 0.000 0.000 0.233
2 Li 0.000 0.000 0.767
3 Ta 0.500 0.500 0.500
4 Re 0.500 0.500 0.000

=====

--- 4 ---
Here is a geometry-optimized Li2TaRe structure from Alexandria via LeMat-Bulk. Energies are from PBE.

a b c (Å): 2.997 4.302 9.887
angles (deg): 90.00 90.00 90.00
Positions (direct):
1 Li 0.000 0.000 0.233
2 Li 0.000 0.000 0.767
3 Li 0.500 0.500 0.233
4 Li 0.500 0.500 0.767
5 Ta 0.000 0.500 0.500
6 Ta 0.500 0.000 0.500
7 Re 0.000 0.500 0.000
8 Re 0.500 0.000 0.000

=====

Which structure loses on stability? 3 does.

=====

--- 1 ---
Here is a geometry-optimized LiReTc structure from Alexandria via LeMat-Bulk. Energies are from PBE.

a b c (Å): 2.579 4.298 7.568
angles (deg): 90.00 90.00 90.00
Positions (direct):
1 Li 0.000 0.000 0.000
2 Li 0.500 0.500 0.500
3 Re 0.000 0.000 0.665
4 Re 0.500 0.500 0.165
5 Tc 0.000 0.000 0.333
6 Tc 0.500 0.500 0.833

=====

--- 2 ---
Here is a geometry-optimized LiReTc structure from Alexandria via LeMat-Bulk. Energies are from PBE.

a b c (Å): 3.099 3.099 8.633
angles (deg): 90.00 90.00 90.00
Positions (direct):
1 Li 0.000 0.000 0.000
2 Li 0.500 0.500 0.500
3 Re 0.000 0.000 0.674
4 Re 0.500 0.500 0.174
5 Tc 0.000 0.000 0.327
6 Tc 0.500 0.500 0.827

=====

Which structure loses on stability? 2 does.

=====

--- 1 ---
Here is a geometry-optimized LiReTc structure from Alexandria via LeMat-Bulk. Energies are from PBE.

a b c (Å): 5.817 5.817 5.817
angles (deg): 90.00 90.00 90.00
Positions (direct):
1 Li 0.000 0.000 0.000
2 Li 0.000 0.500 0.500
3 Li 0.500 0.000 0.500
4 Li 0.500 0.500 0.000
5 Re 0.000 0.000 0.500
6 Re 0.000 0.500 0.000
7 Re 0.500 0.000 0.000
8 Re 0.500 0.500 0.500
9 Tc 0.250 0.250 0.750
10 Tc 0.250 0.750 0.250
11 Tc 0.750 0.250 0.250
12 Tc 0.750 0.750 0.750

=====

--- 2 ---
Here is a geometry-optimized LiReTc structure from Alexandria via LeMat-Bulk. Energies are from PBE.

a b c (Å): 5.047 4.348 7.696
angles (deg): 90.00 90.00 90.00
Positions (direct):
1 Li 0.122 0.250 0.017
2 Li 0.378 0.750 0.517
3 Li 0.622 0.250 0.483
4 Li 0.878 0.750 0.983
5 Re 0.145 0.250 0.679
6 Re 0.355 0.750 0.179
7 Re 0.645 0.250 0.821
8 Re 0.855 0.750 0.321
9 Tc 0.117 0.250 0.359
10 Tc 0.383 0.750 0.859
11 Tc 0.617 0.250 0.141
12 Tc 0.883 0.750 0.641

=====

--- 3 ---
Here is a geometry-optimized LiReTc structure from Alexandria via LeMat-Bulk. Energies are from PBE.

a b c (Å): 4.322 4.322 2.585
angles (deg): 90.00 90.00 120.00
Positions (direct):
1 Li 0.000 0.000 0.000
2 Re 0.667 0.333 0.374
3 Tc 0.333 0.667 0.639

=====

Which structure loses on stability? 1 does.

=====

--- 1 ---
Here is a geometry-optimized LiZnReTc2 structure from Alexandria via LeMat-Bulk. Energies are from PBE.

a b c (Å): 4.130 4.130 4.154
angles (deg): 90.00 90.00 90.00
Positions (direct):
1 Li 0.000 0.000 0.000
2 Zn 0.500 0.500 0.500
3 Re 0.000 0.000 0.500
4 Tc 0.000 0.500 0.000
5 Tc 0.500 0.000 0.000

=====

--- 2 ---
Here is a geometry-optimized LiZnReTc2 structure from Alexandria via LeMat-Bulk. Energies are from PBE.

a b c (Å): 4.677 4.677 4.652
angles (deg): 90.00 90.00 90.00
Positions (direct):
1 Li 0.000 0.000 0.000
2 Zn 0.500 0.500 0.000
3 Re 0.000 0.000 0.500
4 Tc 0.000 0.500 0.500
5 Tc 0.500 0.000 0.500

=====

Which structure loses on stability? 2 does.

=====

--- 1 ---
Here is a geometry-optimized LiRe3Te structure from Alexandria via LeMat-Bulk. Energies are from PBE.

a b c (Å): 4.282 4.282 4.282
angles (deg): 90.00 90.00 90.00
Positions (direct):
1 Li 0.000 0.000 0.000
2 Re 0.000 0.000 0.500
3 Re 0.000 0.500 0.000
4 Re 0.500 0.000 0.000
5 Te 0.500 0.500 0.500

=====

--- 2 ---
Here is a geometry-optimized LiRe3Te structure from Alexandria via LeMat-Bulk. Energies are from PBE.

a b c (Å): 4.862 4.862 4.862
angles (deg): 90.00 90.00 90.00
Positions (direct):
1 Li 0.000 0.000 0.000
2 Re 0.000 0.500 0.500
3 Re 0.500 0.000 0.500
4 Re 0.500 0.500 0.000
5 Te 0.500 0.500 0.500

=====

Which structure loses on stability? 2 does.

=====

--- 1 ---
Here is a geometry-optimized LiRe2Te structure from Alexandria via LeMat-Bulk. Energies are from PBE.

a b c (Å): 3.188 3.188 6.223
angles (deg): 90.00 90.00 90.00
Positions (direct):
1 Li 0.000 0.000 0.000
2 Re 0.000 0.000 0.452
3 Re 0.500 0.500 0.220
4 Te 0.500 0.500 0.758

=====

--- 2 ---
Here is a geometry-optimized LiRe2Te structure from Alexandria via LeMat-Bulk. Energies are from PBE.

a b c (Å): 2.938 2.938 27.838
angles (deg): 90.00 90.00 120.00
Positions (direct):
1 Li 0.000 0.000 0.000
2 Li 0.333 0.667 0.667
3 Li 0.667 0.333 0.333
4 Re 0.000 0.000 0.250
5 Re 0.000 0.000 0.512
6 Re 0.333 0.667 0.178
7 Re 0.333 0.667 0.917
8 Re 0.667 0.333 0.584
9 Re 0.667 0.333 0.845
10 Te 0.000 0.000 0.754
11 Te 0.333 0.667 0.421
12 Te 0.667 0.333 0.087

=====

--- 3 ---
Here is a geometry-optimized LiRe2Te structure from Alexandria via LeMat-Bulk. Energies are from PBE.

a b c (Å): 6.245 6.245 6.245
angles (deg): 90.00 90.00 90.00
Positions (direct):
1 Li 0.000 0.000 0.000
2 Li 0.000 0.500 0.500
3 Li 0.500 0.000 0.500
4 Li 0.500 0.500 0.000
5 Re 0.250 0.250 0.250
6 Re 0.250 0.250 0.750
7 Re 0.250 0.750 0.250
8 Re 0.250 0.750 0.750
9 Re 0.750 0.250 0.250
10 Re 0.750 0.250 0.750
11 Re 0.750 0.750 0.250
12 Re 0.750 0.750 0.750
13 Te 0.000 0.000 0.500
14 Te 0.000 0.500 0.000
15 Te 0.500 0.000 0.000
16 Te 0.500 0.500 0.500

=====

Which structure loses on stability? 3 does.

=====

--- 1 ---
Here is a geometry-optimized LiRe2Te structure from Alexandria via LeMat-Bulk. Energies are from PBE.

a b c (Å): 2.984 4.224 5.338
angles (deg): 90.00 90.00 90.00
Positions (direct):
1 Li 0.000 0.000 0.000
2 Re 0.500 0.500 0.220
3 Re 0.500 0.500 0.780
4 Te 0.000 0.000 0.500

=====

--- 2 ---
Here is a geometry-optimized LiRe2Te structure from Alexandria via LeMat-Bulk. Energies are from PBE.

a b c (Å): 5.220 10.737 3.015
angles (deg): 90.00 124.24 90.00
Positions (direct):
1 Li 0.000 0.000 0.000
2 Li 0.500 0.500 0.000
3 Re 0.250 0.250 0.000
4 Re 0.250 0.750 0.000
5 Re 0.750 0.250 0.000
6 Re 0.750 0.750 0.000
7 Te 0.000 0.500 0.000
8 Te 0.500 0.000 0.000

=====

Which structure loses on stability? 1 does.

=====

--- 1 ---
Here is a geometry-optimized LiReTe3 structure from Alexandria via LeMat-Bulk. Energies are from PBE.

a b c (Å): 5.362 5.362 5.362
angles (deg): 90.00 90.00 90.00
Positions (direct):
1 Li 0.000 0.000 0.000
2 Re 0.500 0.500 0.500
3 Te 0.000 0.500 0.500
4 Te 0.500 0.000 0.500
5 Te 0.500 0.500 0.000

=====

--- 2 ---
Here is a geometry-optimized LiReTe3 structure from Alexandria via LeMat-Bulk. Energies are from PBE.

a b c (Å): 4.826 4.826 4.826
angles (deg): 90.00 90.00 90.00
Positions (direct):
1 Li 0.000 0.000 0.000
2 Re 0.500 0.500 0.500
3 Te 0.000 0.000 0.500
4 Te 0.000 0.500 0.000
5 Te 0.500 0.000 0.000

=====

Which structure loses on stability? 2 does.